[1]
Below is crystalline KZr2P at its relaxed geometry, with properties calculated at the PBE level.

```
data_KZr2P
_chemical_formula_sum 'K4 Zr8 P4'
_space_group_name_H-M_alt 'F -4 3 m'
_space_group_IT_number 216
_space_group_name_Hall 'F -4 2 3'
_cell_length_a 7.153
_cell_length_b 7.153
_cell_length_c 7.153
_cell_angle_alpha 90.00
_cell_angle_beta 90.00
_cell_angle_gamma 90.00
loop_
_atom_site_label
_atom_site_fract_x
_atom_site_fract_y
_atom_site_fract_z
K1 0.000 0.000 0.000
Zr1 0.000 0.000 0.500
Zr2 0.250 0.250 0.750
P1 0.250 0.250 0.250
```

Summary:
Formation enthalpy at 0 K: 63.6 kJ/mol of atoms


[2]
Below is crystalline HgPbAu at its relaxed geometry, with properties calculated at the PBE level.

```
data_HgPbAu
_chemical_formula_sum 'Hg4 Pb4 Au4'
_space_group_name_H-M_alt 'F m m 2'
_space_group_IT_number 42
_space_group_name_Hall 'F 2 -2'
_cell_length_a 5.023
_cell_length_b 5.031
_cell_length_c 11.798
_cell_angle_alpha 90.00
_cell_angle_beta 90.00
_cell_angle_gamma 90.00
loop_
_atom_site_label
_atom_site_fract_x
_atom_site_fract_y
_atom_site_fract_z
Hg1 0.000 0.000 0.000
Pb1 0.000 0.000 0.299
Au1 0.000 0.000 0.648
```

Summary:
Formation enthalpy at 0 K: 1.2 kJ/mol of atoms
Energy above the most stable polymorph in this dataset: 57 meV/atom


[3]
Below is crystalline LaGa2B at its relaxed geometry, with properties calculated at the PBE level.

```
data_LaGa2B
_chemical_formula_sum 'La4 Ga8 B4'
_space_group_name_H-M_alt 'I -4 2 d'
_space_group_IT_number 122
_space_group_name_Hall 'I -4 2bw'
_cell_length_a 4.724
_cell_length_b 4.724
_cell_length_c 15.063
_cell_angle_alpha 90.00
_cell_angle_beta 90.00
_cell_angle_gamma 90.00
loop_
_atom_site_label
_atom_site_fract_x
_atom_site_fract_y
_atom_site_fract_z
La1 0.000 0.000 0.000
Ga1 0.010 0.250 0.625
B1 0.000 0.000 0.500
```

Summary:
Formation enthalpy at 0 K: 3.7 kJ/mol of atoms


[4]
Below is crystalline La7Ho4Er at its relaxed geometry, with properties calculated at the PBE level.

```
data_La7Ho4Er
_chemical_formula_sum 'La14 Ho8 Er2'
_space_group_name_H-M_alt 'C 1 2/m 1'
_space_group_IT_number 12
_space_group_name_Hall '-C 2y'
_cell_length_a 16.355
_cell_length_b 6.092
_cell_length_c 9.627
_cell_angle_alpha 90.00
_cell_angle_beta 118.08
_cell_angle_gamma 90.00
loop_
_atom_site_label
_atom_site_fract_x
_atom_site_fract_y
_atom_site_fract_z
La1 0.000 0.000 0.000
La2 0.089 0.500 0.455
La3 0.211 0.500 0.895
La4 0.223 0.500 0.252
Ho1 0.065 0.000 0.702
Ho2 0.168 0.000 0.364
Er1 0.000 0.500 0.000
```

Summary:
Formation enthalpy at 0 K: 20.7 kJ/mol of atoms
Energy above the most stable polymorph in this dataset: 200 meV/atom


[5]
Below is crystalline Na2GeTe at its relaxed geometry, with properties calculated at the PBE level.

```
data_Na2GeTe
_chemical_formula_sum 'Na8 Ge4 Te4'
_space_group_name_H-M_alt 'F m -3 m'
_space_group_IT_number 225
_space_group_name_Hall '-F 4 2 3'
_cell_length_a 7.401
_cell_length_b 7.401
_cell_length_c 7.401
_cell_angle_alpha 90.00
_cell_angle_beta 90.00
_cell_angle_gamma 90.00
loop_
_atom_site_label
_atom_site_fract_x
_atom_site_fract_y
_atom_site_fract_z
Na1 0.250 0.250 0.250
Ge1 0.000 0.000 0.000
Te1 0.000 0.000 0.500
```

Summary:
Energy above the most stable polymorph in this dataset: 0 meV/atom
Formation energy without anion corrections: -178 meV per atom


[6]
Below is crystalline BaBeZnAu6 at its relaxed geometry, with properties calculated at the PBE level.

```
data_BaBeZnAu6
_chemical_formula_sum 'Ba4 Be4 Zn4 Au24'
_space_group_name_H-M_alt 'I m m a'
_space_group_IT_number 74
_space_group_name_Hall '-I 2b 2'
_cell_length_a 7.388
_cell_length_b 8.212
_cell_length_c 14.265
_cell_angle_alpha 90.00
_cell_angle_beta 90.00
_cell_angle_gamma 90.00
loop_
_atom_site_label
_atom_site_fract_x
_atom_site_fract_y
_atom_site_fract_z
Ba1 0.000 0.250 0.101
Be1 0.250 0.250 0.750
Zn1 0.000 0.000 0.500
Au1 0.000 0.250 0.382
Au2 0.000 0.250 0.851
Au3 0.195 0.038 0.651
```

Summary:
Formation enthalpy at 0 K: -21.8 kJ/mol of atoms


Please write out number 5 again, unchanged.
Below is crystalline Na2GeTe at its relaxed geometry, with properties calculated at the PBE level.

```
data_Na2GeTe
_chemical_formula_sum 'Na8 Ge4 Te4'
_space_group_name_H-M_alt 'F m -3 m'
_space_group_IT_number 225
_space_group_name_Hall '-F 4 2 3'
_cell_length_a 7.401
_cell_length_b 7.401
_cell_length_c 7.401
_cell_angle_alpha 90.00
_cell_angle_beta 90.00
_cell_angle_gamma 90.00
loop_
_atom_site_label
_atom_site_fract_x
_atom_site_fract_y
_atom_site_fract_z
Na1 0.250 0.250 0.250
Ge1 0.000 0.000 0.000
Te1 0.000 0.000 0.500
```

Summary:
Energy above the most stable polymorph in this dataset: 0 meV/atom
Formation energy without anion corrections: -178 meV per atom